A relaxed BaAg2F8 crystal, computed with PBE-GGA.

Lattice parameters (Å, degrees): 5.8426 5.8426 7.3398 113.45 113.45 90.00
Last column: nearest neighbours and their distance in Å.
Positions (direct):
F  0.0362  0.5290  0.7257  1 Ag 1.96
F  0.5290  0.6895  0.7257  1 Ag 1.96
F  0.1967  0.0362  0.7257  1 Ag 1.96
F  0.6895  0.1967  0.7257  1 Ag 1.96
F  0.4710  0.9638  0.2743  1 Ag 1.96
F  0.8033  0.3105  0.2743  1 Ag 1.96
F  0.9638  0.8033  0.2743  1 Ag 1.96
F  0.3105  0.4710  0.2743  1 Ag 1.96
Ba  0.5000  0.5000  0.0000  8 F 2.71
Ag  0.7500  0.2500  0.5000  4 F 1.96
Ag  0.2500  0.7500  0.5000  4 F 1.96

Output
As for the density of states at the Fermi level: 0.0000 states/eV/atom. The value obtained for the energy above the most stable polymorph in this dataset is 0.0 meV per atom. As for the spin magnetization: 0.00 μB per cell. The formation energy from raw total energies comes out at -1849 meV per atom.